Pm3Er6Th2 | PBE | optimized geometry

Cell lengths 6.1217, 6.1414, 11.5239 Å; angles 84.75, 79.43, 60.11 degrees
With the nearest neighbours (Å) after each atom.
Atoms (fractional coordinates):
Er (0.0866, 0.3327, 0.7435)  2 Th 3.44-3.45, 6 Er 3.53-3.55, 3 Pm 3.55-3.56
Er (0.9134, 0.6673, 0.2565)  2 Th 3.44-3.45, 6 Er 3.53-3.55, 3 Pm 3.55-3.56
Er (0.5808, 0.3327, 0.2565)  2 Th 3.44-3.45, 6 Er 3.53-3.55, 3 Pm 3.55-3.56
Er (0.4192, 0.6673, 0.7435)  2 Th 3.44-3.45, 6 Er 3.53-3.55, 3 Pm 3.55-3.56
Er (0.2470, 0.0000, 0.2550)  2 Th 3.43, 3 Pm 3.53-3.54, 6 Er 3.53-3.55
Er (0.7530, 0.0000, 0.7450)  2 Th 3.43, 3 Pm 3.53-3.54, 6 Er 3.53-3.55
Pm (0.6646, 0.6707, 0.0000)  6 Pm 3.51-3.57, 6 Er 3.53-3.56
Pm (0.3354, 0.3293, 0.0000)  6 Pm 3.51-3.57, 6 Er 3.53-3.56
Pm (0.0000, 0.0000, 0.0000)  6 Pm 3.53-3.57, 6 Er 3.54-3.55
Th (0.1644, 0.6713, 0.5000)  6 Er 3.43-3.45, 3 Th 3.50-3.56
Th (0.8356, 0.3287, 0.5000)  6 Er 3.43-3.45, 3 Th 3.50-3.56

DOS(E_F)   15.60 states/eV per cell
E   -4.922 eV/atom
Spin magnetization   0.0 μB per formula unit
Formation enthalpy at 0 K   211 meV/atom
ρ   8.56 g cm⁻³

Pm4ErTh | PBE | optimized geometry

Cell lengths 6.1306, 5.8148, 12.0918 Å; angles 103.91, 104.68, 90.00 degrees
With the nearest neighbours (Å) after each atom.
Atoms (fractional coordinates):
Pm (0.6449, 0.0879, 0.6759)  3 Th 3.37-3.54, 6 Pm 3.50-3.75, 1 Er 3.67
Pm (0.3551, 0.9121, 0.3241)  3 Th 3.37-3.54, 6 Pm 3.50-3.75, 1 Er 3.67
Pm (0.0310, 0.5879, 0.6759)  3 Th 3.37-3.54, 6 Pm 3.50-3.75, 1 Er 3.67
Pm (0.9690, 0.4121, 0.3241)  3 Th 3.37-3.54, 6 Pm 3.50-3.75, 1 Er 3.67
Pm (0.7635, 0.8319, 0.1637)  7 Pm 3.50-3.71, 4 Er 3.55-3.62, 1 Th 3.83
Pm (0.4002, 0.3319, 0.1637)  7 Pm 3.50-3.71, 4 Er 3.55-3.62, 1 Th 3.83
Pm (0.5998, 0.6681, 0.8363)  7 Pm 3.50-3.71, 4 Er 3.55-3.62, 1 Th 3.83
Pm (0.2365, 0.1681, 0.8363)  7 Pm 3.50-3.71, 4 Er 3.55-3.62, 1 Th 3.83
Er (0.8255, 0.2500, 0.0000)  10 Pm 3.55-3.67, 2 Er 3.61
Er (0.1745, 0.7500, 0.0000)  10 Pm 3.55-3.67, 2 Er 3.61
Th (0.0000, 0.0000, 0.5000)  6 Pm 3.37-3.54
Th (0.5000, 0.5000, 0.5000)  6 Pm 3.37-3.54

DOS(E_F)   18.92 states/eV per cell
Distance to the lowest polymorph of the same formula   0.035 eV/atom
E   -5.070 eV/atom
Spin magnetization   0.0 μB per formula unit
Formation enthalpy at 0 K   94 meV/atom
ρ   8.05 g cm⁻³

Pm5Er4Th2 | PBE | optimized geometry

Cell lengths 3.4996, 7.6645, 14.7534 Å; angles 105.06, 96.81, 90.00 degrees
With the nearest neighbours (Å) after each atom.
Atoms (fractional coordinates):
Er (0.6004, 0.6004, 0.2008)  6 Er 3.50-3.61, 4 Pm 3.70
Er (0.0000, 0.6789, 0.0000)  1 Er 2.74, 2 Pm 3.02
Er (0.3996, 0.3996, 0.7992)  6 Er 3.50-3.61, 4 Pm 3.70
Er (0.0000, 0.3211, 0.0000)  1 Er 2.74, 2 Pm 3.02
Pm (0.8048, 0.5472, 0.6097)  1 Th 3.31, 4 Pm 3.50-3.56, 2 Er 3.70
Pm (0.1952, 0.4528, 0.3903)  1 Th 3.31, 4 Pm 3.50-3.56, 2 Er 3.70
Pm (0.8048, 0.0625, 0.6097)  1 Th 3.31, 4 Pm 3.50-3.56, 2 Er 3.70
Pm (0.1952, 0.9375, 0.3903)  1 Th 3.31, 4 Pm 3.50-3.56, 2 Er 3.70
Pm (0.5000, 0.0000, 0.0000)  4 Er 3.02, 4 Th 3.36
Th (0.8987, 0.8987, 0.7973)  4 Pm 3.31-3.36, 2 Th 3.50
Th (0.1013, 0.1013, 0.2027)  4 Pm 3.31-3.36, 2 Th 3.50

DOS(E_F)   17.59 states/eV per cell
Distance to the lowest polymorph of the same formula   0.278 eV/atom
E   -4.765 eV/atom
Spin magnetization   0.0 μB per formula unit
Formation enthalpy at 0 K   402 meV/atom
ρ   8.14 g cm⁻³

Pm2Er2Th3 | PBE | optimized geometry

Cell lengths 3.6876, 4.7557, 13.7730 Å; angles 90.00, 97.69, 90.00 degrees
With the nearest neighbours (Å) after each atom.
Atoms (fractional coordinates):
Pm (0.3029, 0.5000, 0.6058)  4 Pm 3.43-3.69, 4 Er 3.55, 1 Th 3.60
Pm (0.6971, 0.5000, 0.3942)  4 Pm 3.43-3.69, 4 Er 3.55, 1 Th 3.60
Er (0.1279, 0.0000, 0.2559)  5 Th 3.46-3.49, 4 Pm 3.55, 2 Er 3.69
Er (0.8721, 0.0000, 0.7441)  5 Th 3.46-3.49, 4 Pm 3.55, 2 Er 3.69
Th (0.4348, 0.5000, 0.8697)  4 Er 3.46, 7 Th 3.50-3.69, 1 Pm 3.60
Th (0.0000, 0.0000, 0.0000)  2 Er 3.49, 10 Th 3.50-3.69
Th (0.5652, 0.5000, 0.1303)  4 Er 3.46, 7 Th 3.50-3.69, 1 Pm 3.60

DOS(E_F)   9.62 states/eV per cell
E   -5.661 eV/atom
Spin magnetization   0.0 μB per formula unit
Formation enthalpy at 0 K   180 meV/atom
ρ   9.16 g cm⁻³

Pm4Er10Th | PBE | optimized geometry

Cell lengths 8.0264, 8.8572, 8.8572 Å; angles 78.15, 63.06, 63.06 degrees
With the nearest neighbours (Å) after each atom.
Atoms (fractional coordinates):
Er (0.7037, 0.7934, 0.2064)  4 Er 3.26-3.30, 1 Th 3.31, 4 Pm 3.47-3.56
Er (0.7500, 0.5000, 0.5000)  4 Er 3.30
Er (0.2963, 0.2066, 0.7936)  4 Er 3.26-3.30, 1 Th 3.31, 4 Pm 3.47-3.56
Er (0.2965, 0.7934, 0.2064)  4 Er 3.26-3.30, 1 Th 3.31, 4 Pm 3.47-3.56
Er (0.4971, 0.2064, 0.2066)  4 Er 3.26-3.30, 1 Th 3.31, 4 Pm 3.47-3.56
Er (0.9101, 0.7936, 0.7934)  4 Er 3.26-3.30, 1 Th 3.31, 4 Pm 3.47-3.56
Er (0.7035, 0.2066, 0.7936)  4 Er 3.26-3.30, 1 Th 3.31, 4 Pm 3.47-3.56
Er (0.5029, 0.7936, 0.7934)  4 Er 3.26-3.30, 1 Th 3.31, 4 Pm 3.47-3.56
Er (0.2500, 0.5000, 0.5000)  4 Er 3.30
Er (0.0899, 0.2064, 0.2066)  4 Er 3.26-3.30, 1 Th 3.31, 4 Pm 3.47-3.56
Pm (0.7750, 0.9996, 0.4503)  8 Er 3.47-3.56, 1 Th 3.56
Pm (0.7747, 0.4503, 0.0004)  8 Er 3.47-3.56, 1 Th 3.56
Pm (0.2250, 0.0004, 0.5497)  8 Er 3.47-3.56, 1 Th 3.56
Pm (0.2253, 0.5497, 0.9996)  8 Er 3.47-3.56, 1 Th 3.56
Th (0.0000, 0.0000, 0.0000)  8 Er 3.31, 4 Pm 3.56

DOS(E_F)   16.65 states/eV per cell
E   -4.550 eV/atom
Spin magnetization   0.0 μB per formula unit
Formation enthalpy at 0 K   254 meV/atom
ρ   8.25 g cm⁻³

PmEr14Th | PBE | optimized geometry

Cell lengths 6.8830, 6.8830, 10.9938 Å; angles 90.00, 90.00, 107.74 degrees
With the nearest neighbours (Å) after each atom.
Atoms (fractional coordinates):
Er (0.9042, 0.0958, 0.7353)  9 Er 3.39-3.70, 1 Pm 3.45, 1 Th 3.62
Er (0.4124, 0.1651, 0.2498)  9 Er 3.32-3.62, 1 Pm 3.35, 1 Th 3.61
Er (0.8349, 0.5876, 0.2498)  9 Er 3.32-3.62, 1 Pm 3.35, 1 Th 3.61
Er (0.6310, 0.9590, 0.0000)  11 Er 3.33-3.62
Er (0.1096, 0.8904, 0.0000)  12 Er 3.47-3.70
Er (0.0410, 0.3690, 0.0000)  11 Er 3.33-3.62
Er (0.8349, 0.5876, 0.7502)  9 Er 3.32-3.62, 1 Pm 3.35, 1 Th 3.61
Er (0.3452, 0.6548, 0.7678)  10 Er 3.41-3.66, 1 Th 3.78
Er (0.3452, 0.6548, 0.2322)  10 Er 3.41-3.66, 1 Th 3.78
Er (0.6238, 0.7867, 0.5000)  7 Er 3.33-3.57, 2 Th 3.37-3.60, 2 Pm 3.42-3.53
Er (0.5574, 0.4426, 0.0000)  10 Er 3.32-3.52
Er (0.2133, 0.3762, 0.5000)  7 Er 3.33-3.57, 2 Th 3.37-3.60, 2 Pm 3.42-3.53
Er (0.4124, 0.1651, 0.7502)  9 Er 3.32-3.62, 1 Pm 3.35, 1 Th 3.61
Er (0.9042, 0.0958, 0.2647)  9 Er 3.39-3.70, 1 Pm 3.45, 1 Th 3.62
Th (0.1318, 0.8682, 0.5000)  10 Er 3.37-3.62
Pm (0.6986, 0.3014, 0.5000)  10 Er 3.35-3.53

DOS(E_F)   27.05 states/eV per cell
E   -4.696 eV/atom
Spin magnetization   0.0 μB per formula unit
Formation enthalpy at 0 K   57 meV/atom
ρ   9.10 g cm⁻³

Pm2Er4Th | PBE | optimized geometry

Cell lengths 5.6808, 5.6808, 9.3369 Å; angles 107.71, 107.71, 90.00 degrees
With the nearest neighbours (Å) after each atom.
Atoms (fractional coordinates):
Er (0.8200, 0.8200, 0.6400)  1 Th 3.03
Er (0.0000, 0.5000, 0.0000)  2 Th 2.84
Er (0.5000, 0.0000, 0.0000)  2 Th 2.84
Er (0.1800, 0.1800, 0.3600)  1 Th 3.03
Th (0.0000, 0.0000, 0.0000)  6 Er 2.84-3.03
Pm (0.3844, 0.3844, 0.7689)  5 Er 3.44-3.45
Pm (0.6156, 0.6156, 0.2311)  5 Er 3.44-3.45

DOS(E_F)   8.23 states/eV per cell
Distance to the lowest polymorph of the same formula   0.741 eV/atom
E   -4.259 eV/atom
Spin magnetization   0.0 μB per formula unit
Formation enthalpy at 0 K   766 meV/atom
ρ   7.27 g cm⁻³

PmEr3Th3 | PBE | optimized geometry

Cell lengths 5.8109, 9.4850, 9.4850 Å; angles 120.00, 90.00, 90.00 degrees
With the nearest neighbours (Å) after each atom.
Atoms (fractional coordinates):
Er (0.2500, 0.7635, 0.9576)  5 Th 3.54-3.69, 6 Er 3.57-3.59, 1 Pm 3.61
Er (0.7500, 0.8059, 0.7635)  5 Th 3.54-3.69, 6 Er 3.57-3.59, 1 Pm 3.61
Er (0.2500, 0.0424, 0.8059)  5 Th 3.54-3.69, 6 Er 3.57-3.59, 1 Pm 3.61
Er (0.2500, 0.1941, 0.2365)  5 Th 3.54-3.69, 6 Er 3.57-3.59, 1 Pm 3.61
Er (0.7500, 0.2365, 0.0424)  5 Th 3.54-3.69, 6 Er 3.57-3.59, 1 Pm 3.61
Er (0.7500, 0.9576, 0.1941)  5 Th 3.54-3.69, 6 Er 3.57-3.59, 1 Pm 3.61
Th (0.7500, 0.5163, 0.8990)  4 Th 3.48-3.58, 3 Pm 3.53-3.62, 5 Er 3.54-3.69
Th (0.2500, 0.6172, 0.5163)  4 Th 3.48-3.58, 3 Pm 3.53-3.62, 5 Er 3.54-3.69
Th (0.2500, 0.4837, 0.1010)  4 Th 3.48-3.58, 3 Pm 3.53-3.62, 5 Er 3.54-3.69
Th (0.2500, 0.8990, 0.3828)  4 Th 3.48-3.58, 3 Pm 3.53-3.62, 5 Er 3.54-3.69
Th (0.7500, 0.3828, 0.4837)  4 Th 3.48-3.58, 3 Pm 3.53-3.62, 5 Er 3.54-3.69
Th (0.7500, 0.1010, 0.6172)  4 Th 3.48-3.58, 3 Pm 3.53-3.62, 5 Er 3.54-3.69
Pm (0.7500, 0.6667, 0.3333)  9 Th 3.53-3.62, 3 Er 3.61
Pm (0.2500, 0.3333, 0.6667)  9 Th 3.53-3.62, 3 Er 3.61

DOS(E_F)   23.01 states/eV per cell
E   -5.748 eV/atom
Spin magnetization   0.0 μB per formula unit
Formation enthalpy at 0 K   66 meV/atom
ρ   9.85 g cm⁻³

PmEr4Th | PBE | optimized geometry

Cell lengths 3.5491, 9.3726, 10.6431 Å; angles 145.10, 70.54, 100.91 degrees
With the nearest neighbours (Å) after each atom.
Atoms (fractional coordinates):
Er (0.6613, 0.3342, 0.0054)  2 Th 3.51, 3 Pm 3.53-3.58, 7 Er 3.54-3.61
Er (0.8293, 0.6657, 0.5040)  7 Er 3.47-3.55, 3 Th 3.51-3.53, 2 Pm 3.58
Er (0.1706, 0.3343, 0.4959)  7 Er 3.47-3.55, 3 Th 3.51-3.53, 2 Pm 3.58
Er (0.3386, 0.6658, 0.9945)  2 Th 3.51, 3 Pm 3.53-3.58, 7 Er 3.54-3.61
Th (0.0000, 0.0000, 0.0000)  10 Er 3.51-3.53, 2 Th 3.55
Pm (0.5000, 0.0000, 0.5000)  10 Er 3.53-3.58, 2 Pm 3.55

DOS(E_F)   7.37 states/eV per cell
Distance to the lowest polymorph of the same formula   0.000 eV/atom
E   -5.048 eV/atom
Spin magnetization   0.0 μB per formula unit
Formation enthalpy at 0 K   22 meV/atom
ρ   9.21 g cm⁻³

PmEr2Th4 | PBE | optimized geometry

Cell lengths 5.5535, 9.3262, 9.3262 Å; angles 90.00, 90.00, 90.00 degrees
With the nearest neighbours (Å) after each atom.
Atoms (fractional coordinates):
Th (0.5000, 0.3773, 0.8796)  6 Th 3.21-3.58, 3 Er 3.36-3.39
Th (0.5000, 0.6227, 0.1204)  6 Th 3.21-3.58, 3 Er 3.36-3.39
Th (0.5000, 0.8796, 0.3773)  6 Th 3.21-3.58, 3 Er 3.36-3.39
Th (0.0000, 0.8773, 0.6204)  6 Th 3.21-3.58, 3 Er 3.36-3.39
Th (0.0000, 0.6204, 0.8773)  6 Th 3.21-3.58, 3 Er 3.36-3.39
Th (0.0000, 0.1227, 0.3796)  6 Th 3.21-3.58, 3 Er 3.36-3.39
Th (0.5000, 0.1204, 0.6227)  6 Th 3.21-3.58, 3 Er 3.36-3.39
Th (0.0000, 0.3796, 0.1227)  6 Th 3.21-3.58, 3 Er 3.36-3.39
Er (0.0000, 0.8160, 0.1840)  6 Th 3.36-3.39, 2 Pm 3.69
Er (0.5000, 0.6840, 0.6840)  6 Th 3.36-3.39, 2 Pm 3.69
Er (0.0000, 0.1840, 0.8160)  6 Th 3.36-3.39, 2 Pm 3.69
Er (0.5000, 0.3160, 0.3160)  6 Th 3.36-3.39, 2 Pm 3.69
Pm (0.0000, 0.5000, 0.5000)  4 Er 3.69, 4 Th 3.69
Pm (0.5000, 0.0000, 0.0000)  4 Er 3.69, 4 Th 3.69

DOS(E_F)   22.18 states/eV per cell
E   -5.917 eV/atom
Spin magnetization   0.0 μB per formula unit
Formation enthalpy at 0 K   305 meV/atom
ρ   9.68 g cm⁻³

Pm3Er2Th | PBE | optimized geometry

Cell lengths 11.0260, 8.8549, 8.8549 Å; angles 45.81, 51.49, 51.49 degrees
With the nearest neighbours (Å) after each atom.
Atoms (fractional coordinates):
Pm (0.2324, 0.5176, 0.0176)  3 Pm 3.22-3.45, 2 Th 3.28, 4 Er 3.31-3.35
Pm (0.5000, 0.2500, 0.7500)  4 Pm 3.22-3.45
Pm (0.5000, 0.7500, 0.2500)  4 Pm 3.22-3.45
Pm (0.2324, 0.0176, 0.5176)  3 Pm 3.22-3.45, 2 Th 3.28, 4 Er 3.31-3.35
Pm (0.7676, 0.9824, 0.4824)  3 Pm 3.22-3.45, 2 Th 3.28, 4 Er 3.31-3.35
Pm (0.7676, 0.4824, 0.9824)  3 Pm 3.22-3.45, 2 Th 3.28, 4 Er 3.31-3.35
Th (0.0000, 0.0000, 0.0000)  4 Pm 3.28, 2 Th 3.45, 2 Er 3.66
Th (0.0000, 0.5000, 0.5000)  4 Pm 3.28, 2 Th 3.45, 2 Er 3.66
Er (0.0634, 0.6933, 0.6933)  4 Pm 3.31-3.35, 1 Th 3.66
Er (0.4500, 0.8067, 0.8067)  4 Pm 3.31-3.35, 1 Th 3.66
Er (0.9366, 0.3067, 0.3067)  4 Pm 3.31-3.35, 1 Th 3.66
Er (0.5500, 0.1933, 0.1933)  4 Pm 3.31-3.35, 1 Th 3.66

DOS(E_F)   21.09 states/eV per cell
Distance to the lowest polymorph of the same formula   0.569 eV/atom
E   -4.528 eV/atom
Spin magnetization   0.0 μB per formula unit
Formation enthalpy at 0 K   605 meV/atom
ρ   7.28 g cm⁻³

PmEr6Th4 | PBE | optimized geometry

Cell lengths 7.9112, 7.9112, 8.4777 Å; angles 117.81, 117.81, 90.00 degrees
With the nearest neighbours (Å) after each atom.
Atoms (fractional coordinates):
Th (0.0922, 0.7596, 0.8517)  4 Er 3.10-3.37, 2 Th 3.24
Th (0.7596, 0.0922, 0.8517)  4 Er 3.10-3.37, 2 Th 3.24
Th (0.9078, 0.9078, 0.1483)  4 Er 3.10-3.37, 2 Th 3.24
Th (0.2404, 0.2404, 0.1483)  4 Er 3.10-3.37, 2 Th 3.24
Er (0.0000, 0.5000, 0.0000)  4 Th 3.10
Er (0.5799, 0.5799, 0.6331)  4 Th 3.27-3.52, 2 Er 3.65
Er (0.4201, 0.9468, 0.3669)  4 Th 3.27-3.52, 2 Er 3.65
Er (0.9468, 0.4201, 0.3669)  4 Th 3.27-3.52, 2 Er 3.65
Er (0.0532, 0.0532, 0.6331)  4 Th 3.27-3.52, 2 Er 3.65
Er (0.5000, 0.0000, 0.0000)  4 Th 3.10
Pm (0.5000, 0.5000, 0.0000)  8 Er 3.76-3.96, 4 Th 3.85

DOS(E_F)   14.95 states/eV per cell
Distance to the lowest polymorph of the same formula   0.336 eV/atom
E   -5.113 eV/atom
Spin magnetization   0.0 μB per formula unit
Formation enthalpy at 0 K   506 meV/atom
ρ   8.65 g cm⁻³